# 1
Below is an optimized crystal structure of KRbSe4, with properties calculated at the GGA-PBE level.

## Properties
- Calculated volume: 33.391 A^3/atom
- N(E_F): 7.692 states/eV/cell
- Raw formation energy: -348.9 kJ/mol of formula units

The structure in CIF format:
```
data_KRbSe4
_chemical_formula_sum 'K2 Rb2 Se8'
_cell_length_a 4.5604
_cell_length_b 8.9286
_cell_length_c 9.8408
_cell_angle_alpha 90.00
_cell_angle_beta 90.00
_cell_angle_gamma 90.00
_space_group_name_H-M_alt 'I m m m'
_space_group_IT_number 71
_space_group_name_Hall '-I 2 2'
loop_
_atom_site_label
_atom_site_fract_x
_atom_site_fract_y
_atom_site_fract_z
K1 0.0000 0.0000 0.0000
Rb1 0.0000 0.0000 0.5000
Se1 0.0000 0.3670 0.2581
```

# 2
Below is an optimized crystal structure of Ho5ScAl4, with properties calculated at the GGA-PBE level.

## Properties
- Calculated volume: 24.039 A^3/atom
- ΔE_f: -312 meV/atom
- N(E_F): 6.227 states/eV/cell

The structure in CIF format:
```
data_Ho5ScAl4
_chemical_formula_sum 'Ho5 Sc1 Al4'
_cell_length_a 3.5674
_cell_length_b 3.5674
_cell_length_c 18.8894
_cell_angle_alpha 90.00
_cell_angle_beta 90.00
_cell_angle_gamma 90.00
_space_group_name_H-M_alt 'P 4/m m m'
_space_group_IT_number 123
_space_group_name_Hall '-P 4 2'
loop_
_atom_site_label
_atom_site_fract_x
_atom_site_fract_y
_atom_site_fract_z
Ho1 0.0000 0.0000 0.0000
Ho2 0.0000 0.0000 0.1916
Ho3 0.0000 0.0000 0.3843
Sc1 0.5000 0.5000 0.5000
Al1 0.5000 0.5000 0.0959
Al2 0.5000 0.5000 0.2886
```

# 3
Below is an optimized crystal structure of Na2Si2Pb, with properties calculated at the GGA-PBE level.

## Properties
- Calculated volume: 23.149 A^3/atom
- Relative energy among the computed polymorphs: 17 meV/atom
- N(E_F): 3.150 states/eV/cell
- Raw formation energy: 90.5 kJ/mol of formula units

The structure in CIF format:
```
data_Na2Si2Pb
_chemical_formula_sum 'Na4 Si4 Pb2'
_cell_length_a 8.1066
_cell_length_b 8.1066
_cell_length_c 3.5226
_cell_angle_alpha 90.00
_cell_angle_beta 90.00
_cell_angle_gamma 90.00
_space_group_name_H-M_alt 'P 4/m b m'
_space_group_IT_number 127
_space_group_name_Hall '-P 4 2ab'
loop_
_atom_site_label
_atom_site_fract_x
_atom_site_fract_y
_atom_site_fract_z
Na1 0.1914 0.3086 0.0000
Si1 0.1012 0.6012 0.5000
Pb1 0.0000 0.0000 0.5000
```

# 4
Below is an optimized crystal structure of Ce2ScSn9, with properties calculated at the GGA-PBE level.

## Properties
- Calculated volume: 25.734 A^3/atom
- ΔE_f: -446 meV/atom
- N(E_F): 12.904 states/eV/cell

The structure in CIF format:
```
data_Ce2ScSn9
_chemical_formula_sum 'Ce2 Sc1 Sn9'
_cell_length_a 4.7246
_cell_length_b 4.7246
_cell_length_c 13.8347
_cell_angle_alpha 90.00
_cell_angle_beta 90.00
_cell_angle_gamma 90.00
_space_group_name_H-M_alt 'P 4/m m m'
_space_group_IT_number 123
_space_group_name_Hall '-P 4 2'
loop_
_atom_site_label
_atom_site_fract_x
_atom_site_fract_y
_atom_site_fract_z
Ce1 0.0000 0.0000 0.1676
Sc1 0.0000 0.0000 0.5000
Sn1 0.0000 0.5000 0.0000
Sn2 0.0000 0.5000 0.3407
Sn3 0.5000 0.5000 0.1704
Sn4 0.5000 0.5000 0.5000
```

no.,calculated density (g cm⁻³),raw total energy (eV/atom)
1,3.65,-3.270
2,6.75,-4.731
3,4.44,-3.251
4,7.49,-4.965